Below is a relaxed SmIO crystal, with properties calculated at the GGA-PBE level.

Geometry as CIF:
```
data_SmIO
_chemical_formula_sum 'Sm2 I2 O2'
_cell_length_a 4.036
_cell_length_b 4.036
_cell_length_c 10.127
_cell_angle_alpha 90.00
_cell_angle_beta 90.00
_cell_angle_gamma 90.00
_symmetry_space_group_name_H-M 'P 4/n m m'
_symmetry_Int_Tables_number 129
loop_
_symmetry_equiv_pos_as_xyz
'x,y,z'
'-x,-y,-z'
'-y+1/2,x,z'
'y+1/2,-x,-z'
'-x+1/2,-y+1/2,z'
'x+1/2,y+1/2,-z'
'y,-x+1/2,z'
'-y,x+1/2,-z'
'x+1/2,-y,-z'
'-x+1/2,y,z'
'-y,-x,-z'
'y,x,z'
'-x,y+1/2,-z'
'x,-y+1/2,z'
'y+1/2,x+1/2,-z'
'-y+1/2,-x+1/2,z'
loop_
_atom_site_label
_atom_site_fract_x
_atom_site_fract_y
_atom_site_fract_z
Sm1 0.250 0.250 0.113
I1 0.250 0.250 0.697
O1 0.250 0.750 0.000
```

The calculation puts the density of states at the Fermi level at 0.000 states/eV/atom. Its raw formation energy is -2.70 eV per atom. For the total magnetization, the calculation gives 0.00 μB/f.u.